CeNpOs: relaxed, PBE.

Cell: 2.858 4.786 4.786 Å, 120.00 90.00 90.00°
Fractional coordinates of all 3 atoms:
Np 0.499 0.667 0.333
Os 0.000 0.000 0.000
Ce 0.501 0.333 0.667

Output
The calculation puts the energy above the lowest structure with this stoichiometry at 11.9 kJ/mol of formula units. Its crystal system is hexagonal. The calculation puts the formation energy at 0.122 eV/atom.